Compound: NpGa2Bi
Source: the Alexandria database
Functional: PBE
Structure: relaxed

Results
Fermi-level density of states   9.8 states/eV per cell
SG   Fm-3m, No. 225
Magnetization   4.69 μB/f.u.
Energy relative to the lowest polymorph listed for this composition   0.261 eV per atom
ΔH_f (0 K)   0.16 eV per atom
E_tot   -5.56 eV/atom
Mass density   10.06 g/cm3

Lattice parameters (Å, degrees): 5.152 5.152 5.151 59.99 59.99 60.00
Last column: magnetic moment on the atom in μB.
Positions (direct):
Bi 0.000 0.000 0.000  0.04
Np 0.500 0.500 0.500  -4.20
Ga 0.750 0.750 0.750  -0.05
Ga 0.250 0.250 0.250  -0.05

***

Compound: Rb2InHgBr6
Source: the Alexandria database
Functional: PBE
Structure: relaxed

Results
Formation energy from raw total energies   -1043 kJ/mol of formula units
Fermi-level density of states   0.7 states/eV per cell
SG   R3, No. 146
Magnetization   0.00 μB/f.u.
E_tot   -2.58 eV/atom
Mass density   4.44 g/cm3

Lattice parameters (Å, degrees): 8.037 8.039 7.953 59.65 59.67 60.03
Positions (direct):
Hg 0.816 0.816 0.551
Br 0.507 0.609 0.806
Br 0.024 0.555 0.295
Br 0.555 0.126 0.295
Br 0.126 0.024 0.295
Br 0.078 0.507 0.806
Br 0.609 0.078 0.806
In 0.316 0.316 0.051
Rb 0.066 0.066 0.801
Rb 0.563 0.563 0.310

***

Compound: Dy6Te3C2S
Source: the Alexandria database
Functional: PBE
Structure: relaxed

Results
Formation energy from raw total energies   -1355 kJ/mol of formula units
Fermi-level density of states   4.7 states/eV per cell
SG   C2/m, No. 12
Magnetization   0.00 μB/f.u.
E_tot   -6.14 eV/atom
Mass density   8.40 g/cm3

Lattice parameters (Å, degrees): 3.903 8.337 9.194 106.60 102.26 90.00
Positions (direct):
Dy 0.027 0.246 0.053
Dy 0.331 0.865 0.662
Dy 0.681 0.550 0.362
Dy 0.319 0.450 0.638
Dy 0.973 0.754 0.947
Dy 0.669 0.135 0.338
S 0.500 0.000 0.000
C 0.831 0.666 0.662
C 0.169 0.334 0.338
Te 0.500 0.500 0.000
Te 0.159 0.833 0.318
Te 0.841 0.167 0.682